Ho6ErIn4 after structural relaxation. Source: the Alexandria database, functional PBE.

a = 7.672 Å, b = 7.672 Å, c = 11.697 Å
α = 90.00°, β = 90.00°, γ = 90.00°
Space group I-42m (No. 121)
Symmetry-distinct sites (fractional):
Ho 0.000 0.500 0.000 [4 per cell]
Ho 0.188 0.188 0.214 [8 per cell]
Er 0.000 0.000 0.500 [2 per cell]
In 0.169 0.169 0.932 [8 per cell]

Results
* energy of formation: -82 meV/atom
* magnetization: 1.9 μB per cell